[1]
The following is a DFT calculation (GGA-PBE) of an optimized crystal structure of SrInAsH.

a = 4.742 Å, b = 4.742 Å, c = 10.043 Å
α = 90.00°, β = 90.00°, γ = 120.00°
Element x y z (fractional)
Sr  0.333  0.667  0.917
Sr  0.667  0.333  0.417
In  0.000  0.000  0.178
In  0.000  0.000  0.678
As  0.667  0.333  0.732
As  0.333  0.667  0.232
H  0.000  0.000  0.486
H  0.000  0.000  0.986

Values from the calculation:
SG   No. 186

***

[2]
The following is a DFT calculation (GGA-PBE) of an optimized crystal structure of BaSr3Ir.

a = 7.121 Å, b = 7.421 Å, c = 8.718 Å
α = 89.84°, β = 89.99°, γ = 90.00°
Element x y z (fractional)
Sr  0.012  0.375  0.620
Sr  0.501  0.020  0.620
Sr  0.512  0.520  0.392
Sr  0.528  0.525  0.865
Sr  0.001  0.875  0.392
Sr  0.028  0.370  0.147
Ir  0.758  0.699  0.632
Ir  0.258  0.196  0.381
Ba  0.488  0.031  0.141
Ba  0.988  0.864  0.871

Values from the calculation:
SG   No. 4

***

[3]
The following is a DFT calculation (GGA-PBE) of an optimized crystal structure of TaZnBr2.

a = 3.288 Å, b = 3.288 Å, c = 9.741 Å
α = 90.00°, β = 90.00°, γ = 115.87°
Element x y z (fractional)
Br  0.000  0.000  0.921
Br  0.500  0.500  0.317
Ta  0.000  0.000  0.521
Zn  0.500  0.500  0.741

Values from the calculation:
SG   No. 35
Formation energy from raw total energies   -11 meV per atom

***

[4]
The following is a DFT calculation (GGA-PBE) of an optimized crystal structure of Y3BiC.

a = 4.380 Å, b = 4.380 Å, c = 8.023 Å
α = 90.00°, β = 90.00°, γ = 90.00°
Element x y z (fractional)
Y  0.000  0.000  0.742
Y  0.500  0.000  0.419
Y  0.000  0.500  0.419
C  0.500  0.500  0.568
Bi  0.000  0.000  0.116

Values from the calculation:
SG   No. 99

***

[5]
The following is a DFT calculation (GGA-PBE) of an optimized crystal structure of GaRe3I.

a = 4.642 Å, b = 4.642 Å, c = 4.642 Å
α = 90.00°, β = 90.00°, γ = 90.00°
Element x y z (fractional)
I  0.500  0.500  0.500
Re  0.000  0.500  0.000
Re  0.000  0.000  0.500
Re  0.500  0.000  0.000
Ga  0.000  0.000  0.000

Values from the calculation:
SG   No. 221
Formation energy from raw total energies   2292 meV per atom

***

[6]
The following is a DFT calculation (GGA-PBE) of an optimized crystal structure of Sm2SiCl3.

a = 4.057 Å, b = 9.495 Å, c = 10.089 Å
α = 80.66°, β = 78.40°, γ = 77.66°
Element x y z (fractional)
Sm  0.872  0.431  0.824
Sm  0.128  0.569  0.176
Sm  0.617  0.208  0.557
Sm  0.383  0.792  0.443
Si  0.441  0.501  0.618
Si  0.559  0.499  0.382
Cl  0.048  0.145  0.758
Cl  0.952  0.855  0.242
Cl  0.677  0.667  0.979
Cl  0.323  0.333  0.021
Cl  0.757  0.878  0.609
Cl  0.243  0.122  0.391

Values from the calculation:
SG   No. 12
Formation energy from raw total energies   -1604 meV per atom

***

For reference, theoretical density by record: 4.73; 4.27; 7.12; 5.26; 12.54; 3.92 Mg/m³.
For reference, uncorrected energy by record: -28.432; -33.298; -16.517; -30.912; -30.461; -60.056 eV per cell.